1.
## Pm4Zn2CdCu (PBE)

Data for Pm4Zn2CdCu after structural relaxation.

Properties
Energy relative to the elements   -25.94 kJ per mole of atoms
Density   7.367 g/cm³
Total energy   -3.589 eV/atom
SG   R-3m, No. 166

Lattice parameters (Å, degrees): 9.0088 9.0088 9.0088 33.64 33.64 33.64
Sites, in units of the cell vectors:
1 Pm 0.1189 0.1189 0.1189
2 Pm 0.3697 0.3697 0.3697
3 Pm 0.6303 0.6303 0.6303
4 Pm 0.8811 0.8811 0.8811
5 Zn 0.2447 0.2447 0.2447
6 Zn 0.7553 0.7553 0.7553
7 Cd 0.5000 0.5000 0.5000
8 Cu 0.0000 0.0000 0.0000

***

2.
## Sm3InS (PBE)

Data for Sm3InS after structural relaxation.

Properties
ΔE_f (raw)   -1012 meV per atom
Density   7.029 g/cm³
Relative energy among the computed polymorphs   0 meV per atom
Total energy   -5.217 eV/atom
SG   Pnma, No. 62

Lattice parameters (Å, degrees): 9.1813 4.0288 15.2763 90.00 90.00 90.00
Sites, in units of the cell vectors:
1 Sm 0.0285 0.2500 0.1105
2 Sm 0.1643 0.2500 0.5114
3 Sm 0.2037 0.7500 0.2863
4 Sm 0.2963 0.2500 0.7863
5 Sm 0.3357 0.7500 0.0114
6 Sm 0.4715 0.7500 0.6105
7 Sm 0.5285 0.2500 0.3895
8 Sm 0.6643 0.2500 0.9886
9 Sm 0.7037 0.7500 0.2137
10 Sm 0.7963 0.2500 0.7137
11 Sm 0.8357 0.7500 0.4886
12 Sm 0.9715 0.7500 0.8895
13 In 0.0753 0.7500 0.6738
14 In 0.4247 0.2500 0.1738
15 In 0.5753 0.7500 0.8262
16 In 0.9247 0.2500 0.3262
17 S 0.1603 0.2500 0.9459
18 S 0.3397 0.7500 0.4459
19 S 0.6603 0.2500 0.5541
20 S 0.8397 0.7500 0.0541

***

3.
## PuSiAu (PBE)

Data for PuSiAu after structural relaxation.

Properties
ΔE_f (raw)   -167 meV per atom
Density   13.118 g/cm³
Total energy   -7.844 eV/atom
SG   I4mm, No. 107

Lattice parameters (Å, degrees): 6.0518 6.0518 6.0518 148.78 148.78 44.74
Sites, in units of the cell vectors:
1 Pu 0.0000 0.0000 0.0000
2 Si 0.3218 0.3218 0.0000
3 Au 0.6991 0.6991 0.0000

***

4.
## Ba3NpCu2Se9 (PBE)

Data for Ba3NpCu2Se9 after structural relaxation.

Properties
ΔE_f (raw)   -981 meV per atom
Density   6.099 g/cm³
Total energy   -4.865 eV/atom
SG   P-3m1, No. 164

Lattice parameters (Å, degrees): 7.2263 7.2263 8.9500 90.00 90.00 120.00
Sites, in units of the cell vectors:
1 Ba 0.0000 0.0000 0.0000
2 Ba 0.3333 0.6667 0.6871
3 Ba 0.6667 0.3333 0.3129
4 Np 0.0000 0.0000 0.5000
5 Cu 0.3333 0.6667 0.1561
6 Cu 0.6667 0.3333 0.8439
7 Se 0.0000 0.5000 0.0000
8 Se 0.1730 0.3460 0.3284
9 Se 0.1730 0.8270 0.3284
10 Se 0.3460 0.1730 0.6716
11 Se 0.5000 0.0000 0.0000
12 Se 0.5000 0.5000 0.0000
13 Se 0.6540 0.8270 0.3284
14 Se 0.8270 0.1730 0.6716
15 Se 0.8270 0.6540 0.6716

***

Which value of density does entry 3 give?
13.118 g/cm³

***

Which value of density does entry 3 give?
13.118 g/cm³

***

Number 1 is which compound?
Pm4Zn2CdCu